A plane-wave DFT calculation with GGA-PBEsol was carried out for an optimized crystal structure of Li2SiPt.

Unit cell a=4.499 b=4.499 c=4.545 alpha=107.77 beta=107.77 gamma=38.29
Element x y z (fractional)
Li: 0.000 0.000 0.000
Li: 0.240 0.240 0.841
Si: 0.749 0.749 0.374
Pt: 0.484 0.484 0.475

## Properties
Uncorrected formation energy, eV per formula unit: -2.35
D(E_F), states/eV/cell: 0.9